The following is a DFT calculation (PBE) of AgSbO3 after structural relaxation.

Results
- Energy relative to the elements, uncorrected: -1.01 eV per atom
- Crystal system: trigonal
- Total energy: -5.38 eV/atom

a = 5.4182 Å, b = 5.4182 Å, c = 17.0272 Å
α = 90.00°, β = 90.00°, γ = 120.00°
Space group R-3 (No. 148, hexagonal axes)
Asymmetric unit:
Ag 0.0000 0.0000 0.1376 [6 per cell]
Sb 0.0000 0.0000 0.3369 [6 per cell]
O 0.0069 0.3886 0.9332 [18 per cell]

***

The following is a DFT calculation (PBE) of AgSbO3 after structural relaxation.

Results
- Energy relative to the elements, uncorrected: 0.04 eV per atom
- Crystal system: cubic
- Total energy: -4.33 eV/atom

a = 4.0382 Å, b = 4.0382 Å, c = 4.0382 Å
α = 90.00°, β = 90.00°, γ = 90.00°
Space group Pm-3m (No. 221)
Asymmetric unit:
Ag 0.0000 0.0000 0.0000 [1 per cell]
Sb 0.5000 0.5000 0.5000 [1 per cell]
O 0.0000 0.0000 0.5000 [3 per cell]

***

> The highest energy relative to the elements, uncorrected belongs to which entry?

number 2

***

> Which of these has the lowest total energy?

number 1